Entry from Alexandria: KBa2Zn after structural relaxation (PBE).

POSCAR file:
```
KBa2Zn
1.0
4.2939 0.0000 0.0000
0.0000 4.2939 0.0000
0.0000 0.0000 11.0042
K Ba Zn
1 2 1
Cartesian
0.0000 0.0000 0.0000
0.0000 0.0000 3.9630
2.1470 2.1470 7.3393
2.1470 2.1470 2.2973
```

- Formation enthalpy at 0 K: 42 meV/atom
- Mass density: 3.10 Mg/m³
- DOS(E_F): 4.61 states/eV per cell


Entry from Alexandria: KBa2Zn after structural relaxation (PBE).

POSCAR file:
```
KBa2Zn
1.0
8.8572 0.0000 0.0000
0.0000 8.8572 0.0000
0.0000 0.0000 8.8572
K Ba Zn
4 8 4
Cartesian
0.0000 0.0000 0.0000
0.0000 4.4286 4.4286
4.4286 0.0000 4.4286
4.4286 4.4286 0.0000
0.0000 0.0000 4.4286
0.0000 4.4286 0.0000
2.2143 2.2143 6.6429
2.2143 6.6429 2.2143
4.4286 0.0000 0.0000
4.4286 4.4286 4.4286
6.6429 2.2143 2.2143
6.6429 6.6429 6.6429
2.2143 2.2143 2.2143
2.2143 6.6429 6.6429
6.6429 2.2143 6.6429
6.6429 6.6429 2.2143
```

- Formation enthalpy at 0 K: 230 meV/atom
- Mass density: 3.62 Mg/m³
- DOS(E_F): 18.78 states/eV per cell


Entry from Alexandria: K2BaZn2 after structural relaxation (PBE).

POSCAR file:
```
K2BaZn2
1.0
8.5257 0.0000 0.0000
0.0000 8.5257 0.0000
0.0000 0.0000 5.7574
K Ba Zn
4 2 4
Cartesian
1.4349 2.8279 0.0000
2.8279 7.0908 0.0000
5.6977 1.4349 0.0000
7.0908 5.6977 0.0000
0.0000 0.0000 2.8787
4.2628 4.2628 2.8787
0.9071 5.1700 2.8787
3.3557 0.9071 2.8787
5.1700 7.6185 2.8787
7.6185 3.3557 2.8787
```

- Formation enthalpy at 0 K: 65 meV/atom
- Energy above the lowest structure with this stoichiometry: 0 meV/atom
- Mass density: 2.75 Mg/m³
- DOS(E_F): 4.10 states/eV per cell


Entry from Alexandria: KBa3Zn2 after structural relaxation (PBE).

POSCAR file:
```
KBa3Zn2
1.0
4.1711 0.0000 0.0000
0.0000 4.1711 0.0000
0.0000 0.0000 15.3861
K Ba Zn
1 3 2
Cartesian
0.0000 0.0000 0.0000
2.0855 2.0855 3.6972
2.0855 2.0855 7.6931
2.0855 2.0855 11.6889
0.0000 0.0000 5.5446
0.0000 0.0000 9.8415
```

- Formation enthalpy at 0 K: -103 meV/atom
- Mass density: 3.61 Mg/m³
- DOS(E_F): 5.40 states/eV per cell